(1)
The following is a PBE calculation of a relaxed Ho4AlRu crystal, from Alexandria.

The value obtained for the excess energy over the best structure of this formula in the dataset is 0.0 meV/atom. For the calculated formation energy, the calculation gives -0.3767 eV/atom. The value obtained for the total energy is -5.60 eV/atom. Its total magnetization is 0.0 μB/f.u.

The structure belongs to space group F-43m (No. 216); the cell edges are 13.3861, 13.3861 and 13.3861 Å and the angles 90.00°, 90.00° and 90.00°. The distinct sites, in fractional coordinates, are Ho at (0.0000, 0.0000, 0.1890), Ho at (0.0560, 0.2500, 0.7500), Ho at (0.1005, 0.1005, 0.3995), Al at (0.1733, 0.1733, 0.1733) and Ru at (0.1103, 0.1103, 0.6103).

(2)
The following is a PBE calculation of a relaxed Ho7Al2Ru2 crystal, from Alexandria.

For the calculated formation energy, the calculation gives -0.2105 eV/atom. The value obtained for the total energy is -5.49 eV/atom. Its total magnetization is 0.0 μB/f.u.

The structure belongs to space group Cmmm (No. 65); the cell edges are 7.7420, 10.8170 and 7.0071 Å and the angles 90.00°, 90.00° and 90.00°. The distinct sites, in fractional coordinates, are Ho at (0.0000, 0.0000, 0.0000), Ho at (0.0000, 0.5000, 0.2507), Ho at (0.2500, 0.2500, 0.2593), Al at (0.1679, 0.0000, 0.5000) and Ru at (0.0000, 0.2984, 0.0000).

(3)
The following is a PBE calculation of a relaxed Ho3Al9Ru2 crystal, from Alexandria.

For the calculated formation energy, the calculation gives -0.5694 eV/atom. The value obtained for the total energy is -5.28 eV/atom. Its total magnetization is 0.0 μB/f.u.

The structure belongs to space group Immm (No. 71); the cell edges are 4.3319, 9.5506 and 12.3596 Å and the angles 90.00°, 90.00° and 90.00°. The distinct sites, in fractional coordinates, are Ho at (0.0000, 0.0000, 0.0000), Ho at (0.0000, 0.0000, 0.2974), Al at (0.0000, 0.2834, 0.1273), Al at (0.0000, 0.3610, 0.3513), Al at (0.0000, 0.5000, 0.0000) and Ru at (0.0000, 0.1710, 0.5000).